1.
Here is ScAgW2 after structural relaxation from the Alexandria database. Energies are from PBE.

Cell: 4.610 4.610 4.610 Å, 60.00 60.00 60.00°
Element x y z (fractional)
Sc: 0.000 0.000 0.000
Ag: 0.500 0.500 0.500
W: 0.250 0.250 0.250
W: 0.750 0.750 0.750

Computed properties:
The calculation puts the energy above the lowest structure with this stoichiometry at 0.710 eV per atom. The energy of formation from the pure elements comes out at 943.5 meV per atom. Its energy is -31.3 eV per cell. Its crystal system is cubic.

2.
Here is ScAgW2 after structural relaxation from the Alexandria database. Energies are from PBE.

Cell: 2.773 4.187 6.105 Å, 90.00 90.00 90.00°
Element x y z (fractional)
Ag: 0.000 0.000 0.504
Sc: 0.500 0.500 0.745
W: 0.000 0.000 0.021
W: 0.500 0.500 0.231

Computed properties:
The calculation puts the energy above the lowest structure with this stoichiometry at 0.161 eV per atom. The energy of formation from the pure elements comes out at 394.7 meV per atom. Its energy is -33.5 eV per cell. Its crystal system is orthorhombic.

3.
Here is ScAgW2 after structural relaxation from the Alexandria database. Energies are from PBE.

Cell: 10.059 10.059 10.059 Å, 16.36 16.36 16.36°
Element x y z (fractional)
Ag: 0.501 0.501 0.501
Sc: 0.749 0.749 0.749
W: 0.999 0.999 0.999
W: 0.251 0.251 0.251

Computed properties:
The calculation puts the energy above the lowest structure with this stoichiometry at 0.197 eV per atom. The energy of formation from the pure elements comes out at 429.9 meV per atom. Its energy is -33.4 eV per cell. Its crystal system is trigonal.

4.
Here is ScAgW2 after structural relaxation from the Alexandria database. Energies are from PBE.

Cell: 10.018 10.018 10.018 Å, 16.51 16.51 16.51°
Element x y z (fractional)
Ag: 0.250 0.250 0.250
Sc: 0.750 0.750 0.750
W: 0.999 0.999 0.999
W: 0.501 0.501 0.501

Computed properties:
The calculation puts the energy above the lowest structure with this stoichiometry at 0.331 eV per atom. The energy of formation from the pure elements comes out at 564.0 meV per atom. Its energy is -32.8 eV per cell. Its crystal system is trigonal.

5.
Here is Sc2ZnAgW after structural relaxation from the Alexandria database. Energies are from PBE.

Cell: 5.055 4.922 5.055 Å, 90.00 90.00 90.00°
Each line ends with the local moment (μB).
Element x y z (fractional)
Sc: 0.000 0.000 0.500  -0.06
Sc: 0.500 0.000 0.000  -0.11
Zn: 0.500 0.500 0.500  -0.03
Ag: 0.000 0.000 0.000  0.01
W: 0.000 0.500 0.000  0.89

Computed properties:
The energy of formation from the pure elements comes out at 1240.3 meV per atom. Its energy is -23.5 eV per cell. Its crystal system is tetragonal.

6.
Here is Y2ScAg3 after structural relaxation from the Alexandria database. Energies are from PBE.

Cell: 3.555 3.555 10.850 Å, 90.00 90.00 90.00°
Element x y z (fractional)
Y: 0.500 0.500 0.827
Y: 0.500 0.500 0.173
Sc: 0.500 0.500 0.500
Ag: 0.000 0.000 0.000
Ag: 0.000 0.000 0.649
Ag: 0.000 0.000 0.351

Computed properties:
The energy of formation from the pure elements comes out at -306.0 meV per atom. Its energy is -29.6 eV per cell. Its crystal system is tetragonal.

7.
Here is YScAg2 after structural relaxation from the Alexandria database. Energies are from PBE.

Cell: 5.548 5.548 5.163 Å, 76.06 76.06 35.79°
Element x y z (fractional)
Ag: 0.986 0.986 0.978
Ag: 0.260 0.260 0.285
Sc: 0.515 0.515 0.437
Y: 0.738 0.738 0.799

Computed properties:
The calculation puts the energy above the lowest structure with this stoichiometry at 0.117 eV per atom. The energy of formation from the pure elements comes out at -178.1 meV per atom. Its energy is -19.2 eV per cell. Its crystal system is monoclinic.

8.
Here is Y2Sc2Ag after structural relaxation from the Alexandria database. Energies are from PBE.

Cell: 7.216 7.216 5.170 Å, 90.00 90.00 90.00°
Element x y z (fractional)
Y: 0.163 0.663 0.500
Y: 0.663 0.837 0.500
Y: 0.837 0.337 0.500
Y: 0.337 0.163 0.500
Sc: 0.356 0.856 0.000
Sc: 0.856 0.644 0.000
Sc: 0.644 0.144 0.000
Sc: 0.144 0.356 0.000
Ag: 0.000 0.000 0.000
Ag: 0.500 0.500 0.000

Computed properties:
The energy of formation from the pure elements comes out at 36.5 meV per atom. Its energy is -56.5 eV per cell. Its crystal system is tetragonal.

9.
Here is Y4ScAg3 after structural relaxation from the Alexandria database. Energies are from PBE.

Cell: 3.654 5.217 10.546 Å, 90.00 90.00 90.00°
Element x y z (fractional)
Y: 0.000 0.000 0.500
Y: 0.000 0.500 0.739
Y: 0.000 0.000 0.000
Y: 0.000 0.500 0.261
Sc: 0.500 0.500 0.000
Ag: 0.500 0.000 0.241
Ag: 0.500 0.500 0.500
Ag: 0.500 0.000 0.759

Computed properties:
The energy of formation from the pure elements comes out at -189.2 meV per atom. Its energy is -42.3 eV per cell. Its crystal system is orthorhombic.

10.
Here is Y4ScAg5 after structural relaxation from the Alexandria database. Energies are from PBE.

Cell: 3.576 3.576 18.295 Å, 90.00 90.00 90.00°
Element x y z (fractional)
Y: 0.000 0.000 0.193
Y: 0.000 0.000 0.398
Y: 0.000 0.000 0.602
Y: 0.000 0.000 0.807
Sc: 0.000 0.000 0.000
Ag: 0.500 0.500 0.088
Ag: 0.500 0.500 0.296
Ag: 0.500 0.500 0.500
Ag: 0.500 0.500 0.704
Ag: 0.500 0.500 0.912

Computed properties:
The energy of formation from the pure elements comes out at -315.3 meV per atom. Its energy is -49.6 eV per cell. Its crystal system is tetragonal.

11.
Here is YScAg2 after structural relaxation from the Alexandria database. Energies are from PBE.

Cell: 5.987 5.987 5.987 Å, 145.34 131.87 60.66°
Element x y z (fractional)
Ag: 0.983 0.983 0.000
Ag: 0.760 0.260 0.500
Sc: 0.518 0.518 0.000
Y: 0.239 0.739 0.500

Computed properties:
The calculation puts the energy above the lowest structure with this stoichiometry at 0.151 eV per atom. The energy of formation from the pure elements comes out at -143.9 meV per atom. Its energy is -19.1 eV per cell. Its crystal system is orthorhombic.

12.
Here is YScAg2 after structural relaxation from the Alexandria database. Energies are from PBE.

Cell: 5.707 5.707 5.707 Å, 135.96 135.96 64.04°
Each line ends with the local moment (μB).
Element x y z (fractional)
Ag: 0.000 0.000 0.000  0.02
Ag: 0.250 0.750 0.500  0.02
Sc: 0.500 0.500 0.000  0.21
Y: 0.750 0.250 0.500  0.12

Computed properties:
The calculation puts the energy above the lowest structure with this stoichiometry at 0.190 eV per atom. The energy of formation from the pure elements comes out at -105.3 meV per atom. Its energy is -18.9 eV per cell. Its crystal system is tetragonal.

13.
Here is YScAg2 after structural relaxation from the Alexandria database. Energies are from PBE.

Cell: 6.555 6.555 6.555 Å, 56.37 152.65 131.73°
Element x y z (fractional)
Y: 0.000 0.500 0.500
Sc: 0.000 0.000 0.000
Ag: 0.000 0.241 0.241
Ag: 0.000 0.759 0.759

Computed properties:
The calculation puts the energy above the lowest structure with this stoichiometry at 0.698 eV per atom. The energy of formation from the pure elements comes out at 403.4 meV per atom. Its energy is -16.9 eV per cell. Its crystal system is orthorhombic.

14.
Here is YSc3Ag2 after structural relaxation from the Alexandria database. Energies are from PBE.

Cell: 5.030 8.685 8.352 Å, 125.22 90.00 106.83°
Element x y z (fractional)
Y: 0.864 0.729 0.916
Y: 0.136 0.271 0.084
Sc: 0.306 0.611 0.603
Sc: 0.936 0.872 0.593
Sc: 0.615 0.230 0.692
Sc: 0.385 0.770 0.308
Sc: 0.064 0.128 0.407
Sc: 0.694 0.389 0.397
Ag: 0.511 0.022 0.850
Ag: 0.489 0.978 0.150
Ag: 0.767 0.534 0.143
Ag: 0.233 0.466 0.857

Computed properties:
The calculation puts the energy above the lowest structure with this stoichiometry at 0.065 eV per atom. The energy of formation from the pure elements comes out at -121.7 meV per atom. Its energy is -63.8 eV per cell. Its crystal system is monoclinic.

15.
Here is YScAg2 after structural relaxation from the Alexandria database. Energies are from PBE.

Cell: 3.518 3.518 7.167 Å, 90.00 90.00 90.00°
Element x y z (fractional)
Y: 0.500 0.500 0.500
Sc: 0.500 0.500 0.000
Ag: 0.000 0.000 0.775
Ag: 0.000 0.000 0.225

Computed properties:
The calculation puts the energy above the lowest structure with this stoichiometry at 0.000 eV per atom. The energy of formation from the pure elements comes out at -295.0 meV per atom. Its energy is -19.7 eV per cell. Its crystal system is tetragonal.

16.
Here is YScAg4 after structural relaxation from the Alexandria database. Energies are from PBE.

Cell: 5.628 5.628 5.628 Å, 60.00 60.00 60.00°
Element x y z (fractional)
Y: 0.000 0.000 0.000
Sc: 0.750 0.750 0.750
Ag: 0.874 0.375 0.375
Ag: 0.375 0.375 0.874
Ag: 0.375 0.874 0.375
Ag: 0.375 0.375 0.375

Computed properties:
The calculation puts the energy above the lowest structure with this stoichiometry at 0.167 eV per atom. The energy of formation from the pure elements comes out at -129.9 meV per atom. Its energy is -25.0 eV per cell. Its crystal system is cubic.

17.
Here is YScAg after structural relaxation from the Alexandria database. Energies are from PBE.

Cell: 4.884 4.884 4.884 Å, 60.00 60.00 60.00°
Element x y z (fractional)
Ag: 0.750 0.750 0.750
Sc: 0.000 0.000 0.000
Y: 0.500 0.500 0.500

Computed properties:
The calculation puts the energy above the lowest structure with this stoichiometry at 0.238 eV per atom. The energy of formation from the pure elements comes out at 78.5 meV per atom. Its energy is -15.4 eV per cell. Its crystal system is cubic.

18.
Here is YScAg2 after structural relaxation from the Alexandria database. Energies are from PBE.

Cell: 7.936 5.028 3.526 Å, 90.04 63.57 129.28°
Element x y z (fractional)
Y: 0.500 0.500 0.000
Sc: 0.000 0.500 0.500
Ag: 0.000 0.000 0.000
Ag: 0.500 0.000 0.500

Computed properties:
The calculation puts the energy above the lowest structure with this stoichiometry at 0.016 eV per atom. The energy of formation from the pure elements comes out at -279.0 meV per atom. Its energy is -19.6 eV per cell. Its crystal system is orthorhombic.

19.
Here is YScAg after structural relaxation from the Alexandria database. Energies are from PBE.

Cell: 6.551 6.551 3.480 Å, 74.59 74.60 30.81°
Each line ends with the local moment (μB).
Element x y z (fractional)
Y: 0.657 0.657 0.343  0.27
Sc: 0.355 0.355 0.645  0.32
Ag: 0.989 0.989 0.011  0.02

Computed properties:
The calculation puts the energy above the lowest structure with this stoichiometry at 0.000 eV per atom. The energy of formation from the pure elements comes out at -159.4 meV per atom. Its energy is -16.1 eV per cell. Its crystal system is tetragonal.

20.
Here is YScAg2 after structural relaxation from the Alexandria database. Energies are from PBE.

Cell: 4.902 4.902 4.902 Å, 60.00 60.00 60.00°
Element x y z (fractional)
Ag: 0.000 0.000 0.000
Ag: 0.250 0.250 0.250
Sc: 0.500 0.500 0.500
Y: 0.750 0.750 0.750

Computed properties:
The calculation puts the energy above the lowest structure with this stoichiometry at 0.207 eV per atom. The energy of formation from the pure elements comes out at -88.2 meV per atom. Its energy is -18.9 eV per cell. Its crystal system is cubic.